Entry 1:
Li3Cd12Au | the Alexandria database | PBE | relaxed; magnetic moment = 0.00 μB per formula unit; SG = P4/mmm, No. 123; crystal system = tetragonal
1.0
4.316 0.000 0.000
0.000 4.316 0.000
0.000 0.000 17.760
Cd Li Au
12 3 1
Cartesian
0.000 2.158 15.544
0.000 2.158 11.116
2.158 2.158 0.000
2.158 0.000 15.544
2.158 0.000 6.644
2.158 0.000 2.216
2.158 2.158 4.410
0.000 2.158 6.644
2.158 2.158 8.880
2.158 0.000 11.116
0.000 2.158 2.216
2.158 2.158 13.350
0.000 0.000 4.422
0.000 0.000 8.880
0.000 0.000 13.338
0.000 0.000 0.000

***

Entry 2:
LiCd4Au5 | the Alexandria database | PBE | relaxed; magnetic moment = 0.00 μB per formula unit; SG = P4/mmm, No. 123; crystal system = tetragonal
1.0
3.364 0.000 0.000
0.000 3.364 0.000
0.000 0.000 16.569
Au Li Cd
5 1 4
Cartesian
1.682 1.682 11.716
1.682 1.682 1.417
1.682 1.682 8.285
1.682 1.682 15.152
1.682 1.682 4.853
0.000 0.000 0.000
0.000 0.000 6.566
0.000 0.000 10.003
0.000 0.000 3.119
0.000 0.000 13.450

***

Entry 3:
LiCd3Au5 | the Alexandria database | PBE | relaxed; magnetic moment = 0.00 μB per formula unit; SG = P6_3/mcm, No. 193; crystal system = hexagonal
1.0
-4.339 3.143 -2.154
-5.046 -2.924 5.897
4.357 6.929 1.332
Au Cd Li
10 6 2
Cartesian
-1.905 4.503 -1.203
-4.817 1.451 0.210
-4.568 -1.233 3.532
-0.947 5.216 1.776
-1.298 2.027 1.700
-3.730 5.121 3.374
1.223 3.645 2.854
-3.123 2.644 6.277
-4.081 1.932 3.298
-1.911 0.360 4.375
0.439 3.209 -0.073
-1.533 3.390 4.162
-2.849 -0.237 1.523
-5.467 3.938 5.147
-6.536 0.455 2.219
-3.495 3.758 0.913
-2.169 1.571 -1.077
0.000 0.000 0.000

***

Entry 4:
LiCdAu6 | the Alexandria database | PBE | relaxed; magnetic moment = 0.00 μB per formula unit; SG = P4/mmm, No. 123; ΔE to the lowest computed polymorph = 0.000 eV/atom; crystal system = tetragonal
1.0
4.141 0.000 0.000
0.000 4.141 0.000
0.000 0.000 8.288
Li Au Cd
1 6 1
Cartesian
0.000 0.000 4.144
2.070 2.070 4.144
2.070 0.000 6.136
0.000 2.070 2.153
2.070 0.000 2.153
2.070 2.070 0.000
0.000 2.070 6.136
0.000 0.000 0.000

***

Number 1: ΔH_f (0 K) -0.1397 eV per atom, E_tot -1.3897 eV/atom. Number 2: ΔH_f (0 K) -0.2492 eV per atom, E_tot -2.4453 eV/atom. Number 3: ΔH_f (0 K) -0.1920 eV per atom, E_tot -2.5304 eV/atom. Number 4: ΔH_f (0 K) -0.2373 eV per atom, E_tot -3.0489 eV/atom.